DFT (PBE-GGA) results for crystalline LiPm3Pt at its relaxed geometry.

Lattice parameters (Å, degrees): 5.0772 10.8640 10.9003 110.23 90.00 90.00
Fractional coordinates of all 20 atoms:
Pm 0.2500 0.0891 0.8042
Li 0.7501 0.0957 0.0208
Li 0.2501 0.9043 0.4792
Pm 0.2499 0.3661 0.6223
Pm 0.7501 0.6339 0.3777
Pt 0.7499 0.5319 0.6004
Pt 0.2501 0.4681 0.3996
Pm 0.7500 0.3087 0.8491
Pt 0.2499 0.4681 0.8996
Pm 0.7499 0.6339 0.8777
Pm 0.7500 0.9109 0.6958
Pm 0.7500 0.3087 0.3491
Li 0.7499 0.0957 0.5208
Pm 0.7500 0.9109 0.1958
Pm 0.2500 0.6913 0.6509
Pm 0.2500 0.0891 0.3042
Pm 0.2501 0.3661 0.1223
Li 0.2499 0.9043 0.9792
Pt 0.7501 0.5319 0.1004
Pm 0.2500 0.6913 0.1509

Calculated values
- calculated formation energy (eV per atom) = -0.346



DFT (PBE-GGA) results for crystalline Li5Pm3Pt2 at its relaxed geometry.

Lattice parameters (Å, degrees): 5.8520 9.1913 9.1913 90.85 71.44 71.44
Fractional coordinates of all 20 atoms:
Li 0.3776 0.7665 0.4782
Pt 0.6402 0.0196 0.7001
Li 0.5070 0.7430 0.7430
Pt 0.3598 0.9804 0.2999
Pm 0.8754 0.8807 0.3686
Li 0.0070 0.7430 0.7430
Pm 0.2500 0.0000 0.0000
Li 0.6224 0.2335 0.5218
Pm 0.6246 0.6314 0.1193
Pm 0.3754 0.3686 0.8807
Pt 0.1402 0.7001 0.0196
Li 0.8776 0.4782 0.7665
Pm 0.1246 0.1193 0.6314
Pt 0.8598 0.2999 0.9804
Li 0.4930 0.2570 0.2570
Li 0.7500 0.5000 0.5000
Li 0.9930 0.2570 0.2570
Pm 0.7500 0.0000 0.0000
Li 0.2500 0.5000 0.5000
Li 0.1224 0.5218 0.2335

Calculated values
- calculated formation energy (eV per atom) = -0.361



DFT (PBE-GGA) results for crystalline LiPm6Pt3 at its relaxed geometry.

Lattice parameters (Å, degrees): 7.0774 8.9541 8.9541 99.02 90.00 90.00
Fractional coordinates of all 20 atoms:
Pm 0.6750 0.6289 0.6988
Pt 0.9697 0.7410 0.9192
Pm 0.6331 0.9379 0.0621
Pt 0.3802 0.3929 0.6071
Pm 0.1325 0.7844 0.2156
Pm 0.7710 0.5125 0.0711
Pt 0.4697 0.9192 0.7410
Pm 0.1750 0.3711 0.3012
Pm 0.6325 0.2156 0.7844
Pm 0.2710 0.0711 0.5125
Li 0.0080 0.3502 0.6498
Pm 0.7710 0.9289 0.4875
Pt 0.8802 0.6071 0.3929
Pm 0.1750 0.6988 0.6289
Pt 0.4697 0.2590 0.0808
Pm 0.1331 0.0621 0.9379
Pm 0.6750 0.3012 0.3711
Li 0.5080 0.6498 0.3502
Pm 0.2710 0.4875 0.9289
Pt 0.9697 0.0808 0.2590

Calculated values
- calculated formation energy (eV per atom) = -0.677



DFT (PBE-GGA) results for crystalline Li4PmPt2 at its relaxed geometry.

Lattice parameters (Å, degrees): 4.1537 7.6712 7.6712 90.00 90.00 90.00
Fractional coordinates of all 14 atoms:
Li 0.0000 0.9025 0.6534
Li 0.0000 0.6534 0.9025
Pt 0.0000 0.2075 0.7925
Pt 0.5000 0.7075 0.7075
Li 0.5000 0.8466 0.4025
Pm 0.5000 0.0000 0.0000
Pm 0.0000 0.5000 0.5000
Li 0.5000 0.4025 0.8466
Pt 0.5000 0.2925 0.2925
Li 0.5000 0.1534 0.5975
Li 0.0000 0.3466 0.0975
Li 0.5000 0.5975 0.1534
Pt 0.0000 0.7925 0.2075
Li 0.0000 0.0975 0.3466

Calculated values
- calculated formation energy (eV per atom) = -0.596



DFT (PBE-GGA) results for crystalline LiPm2Pt2 at its relaxed geometry.

Lattice parameters (Å, degrees): 5.8093 7.2560 7.3349 119.64 113.33 90.00
Fractional coordinates of all 10 atoms:
Pm 0.3577 0.0186 0.7155
Pt 0.6109 0.3521 0.2218
Pt 0.3891 0.6479 0.7782
Li 0.7500 0.5000 0.0000
Pt 0.8891 0.1303 0.7782
Pm 0.8577 0.6969 0.7155
Li 0.2500 0.5000 0.0000
Pm 0.6423 0.9814 0.2845
Pt 0.1109 0.8697 0.2218
Pm 0.1423 0.3031 0.2845

Calculated values
- calculated formation energy (eV per atom) = -0.870



DFT (PBE-GGA) results for crystalline Li2Pm3Pt5 at its relaxed geometry.

Lattice parameters (Å, degrees): 3.8265 9.9019 9.9019 90.00 90.00 90.00
Fractional coordinates of all 20 atoms:
Pt 0.5000 0.0696 0.7797
Li 0.0000 0.1182 0.6182
Pm 0.0000 0.6761 0.1761
Pt 0.5000 0.4304 0.2797
Pt 0.5000 0.7203 0.4304
Pt 0.5000 0.5000 0.0000
Pm 0.0000 0.0000 0.0000
Pm 0.0000 0.1761 0.3239
Pt 0.5000 0.7797 0.9304
Pt 0.5000 0.5696 0.7203
Pm 0.0000 0.8239 0.6761
Pt 0.5000 0.9304 0.2203
Li 0.0000 0.3818 0.1182
Pt 0.5000 0.0000 0.5000
Pt 0.5000 0.2203 0.0696
Li 0.0000 0.6182 0.8818
Pm 0.0000 0.5000 0.5000
Pt 0.5000 0.2797 0.5696
Li 0.0000 0.8818 0.3818
Pm 0.0000 0.3239 0.8239

Calculated values
- calculated formation energy (eV per atom) = -0.937



Here are the calculated E numbers, same order: -4.79 -3.95 -5.53 -4.09 -5.57 -5.77 (eV/atom).
Here are the calculated D(E_F) numbers, same order: 4.7 7.3 10.2 2.4 2.4 3.9 (states/eV/f.u.).